w:
A plane-wave DFT calculation with PBE was carried out for a geometry-optimized BeBiOs3 structure.

a b c (Å): 4.9491 4.9491 4.9491
angles (deg): 90.00 90.00 90.00
Space group Pm-3m (No. 221)
Unique sites:
Be1 0.0000 0.0000 0.0000 x1
Bi1 0.5000 0.5000 0.5000 x1
Os1 0.0000 0.5000 0.5000 x3

Total magnetic moment (μB per formula unit): 2.99

---

x:
A plane-wave DFT calculation with PBE was carried out for a geometry-optimized BeBiOs3 structure.

a b c (Å): 4.2649 4.2649 4.2649
angles (deg): 90.00 90.00 90.00
Space group Pm-3m (No. 221)
Unique sites:
Be1 0.0000 0.0000 0.0000 x1
Bi1 0.5000 0.5000 0.5000 x1
Os1 0.0000 0.0000 0.5000 x3

Total magnetic moment (μB per formula unit): 0.29

---

How far above the most stable structure does each one sit? In kJ/mol of atoms: w 226.9; x 0.0.

---

w:
A plane-wave DFT calculation with PBE was carried out for a geometry-optimized Be3BiOs structure.

a b c (Å): 4.5418 4.5418 4.5418
angles (deg): 90.00 90.00 90.00
Space group Pm-3m (No. 221)
Unique sites:
Be1 0.0000 0.0000 0.5000 x3
Bi1 0.0000 0.0000 0.0000 x1
Os1 0.5000 0.5000 0.5000 x1

Total magnetic moment (μB per formula unit): 1.06

---

x:
A plane-wave DFT calculation with PBE was carried out for a geometry-optimized Be3BiOs structure.

a b c (Å): 4.3332 4.3332 4.3332
angles (deg): 90.00 90.00 90.00
Space group Pm-3m (No. 221)
Unique sites:
Be1 0.0000 0.0000 0.5000 x3
Bi1 0.5000 0.5000 0.5000 x1
Os1 0.0000 0.0000 0.0000 x1

Total magnetic moment (μB per formula unit): 0.00

---

How far above the most stable structure does each one sit? In kJ/mol of atoms: w 155.5; x 0.0.

---

w:
A plane-wave DFT calculation with PBE was carried out for a geometry-optimized BeBiP3 structure.

a b c (Å): 4.4498 4.4498 4.4498
angles (deg): 90.00 90.00 90.00
Space group Pm-3m (No. 221)
Unique sites:
Be1 0.0000 0.0000 0.0000 x1
Bi1 0.5000 0.5000 0.5000 x1
P1 0.0000 0.0000 0.5000 x3

Total magnetic moment (μB per formula unit): 0.00

---

x:
A plane-wave DFT calculation with PBE was carried out for a geometry-optimized BeBiP3 structure.

a b c (Å): 5.2359 5.2359 5.2359
angles (deg): 90.00 90.00 90.00
Space group Pm-3m (No. 221)
Unique sites:
Be1 0.0000 0.0000 0.0000 x1
Bi1 0.5000 0.5000 0.5000 x1
P1 0.0000 0.5000 0.5000 x3

Total magnetic moment (μB per formula unit): 0.87

---

How far above the most stable structure does each one sit? In kJ/mol of atoms: w 0.0; x 127.1.